No. 1
CsRb3Na3 | PBE | optimized geometry

Geometry as POSCAR:
```
CsRb3Na3
1.0
10.909 0.000 0.000
0.000 10.909 0.000
0.000 0.000 10.909
Cs Rb Na
2 6 6
Cartesian
0.000 0.000 0.000
5.455 5.455 5.455
0.000 2.727 5.455
0.000 8.182 5.455
2.727 5.455 0.000
5.455 0.000 2.727
5.455 0.000 8.182
8.182 5.455 0.000
0.000 5.455 2.727
0.000 5.455 8.182
2.727 0.000 5.455
5.455 2.727 0.000
5.455 8.182 0.000
8.182 0.000 5.455
```

Calculated values
**Distance to the lowest polymorph of the same formula**: 1.14 eV per formula unit
**Density**: 1.2 g/cm3

No. 2
CsRbNa3 | PBE | optimized geometry

Geometry as POSCAR:
```
CsRbNa3
1.0
12.907 0.000 0.000
0.000 7.699 0.000
-2.620 0.000 12.568
Cs Rb Na
4 4 12
Cartesian
1.405 0.286 3.458
0.095 3.563 9.742
10.192 4.136 2.826
8.882 7.413 9.110
6.011 1.788 1.460
4.701 2.061 7.744
5.586 5.638 4.825
4.276 5.911 11.109
-1.171 1.859 6.285
0.139 1.990 0.001
1.623 4.122 5.433
0.313 7.427 11.718
2.744 4.313 1.597
1.434 7.236 7.881
8.853 0.463 4.687
7.543 3.387 10.972
9.973 0.273 0.851
8.664 3.577 7.135
10.148 5.709 12.567
11.458 5.840 6.283
```

Calculated values
**Distance to the lowest polymorph of the same formula**: 0.04 eV per formula unit
**Density**: 1.5 g/cm3

No. 3
Cs5Rb6Na5 | PBE | optimized geometry

Geometry as POSCAR:
```
Cs5Rb6Na5
1.0
8.298 0.000 0.000
0.000 10.455 7.217
0.000 -10.455 7.217
Cs Rb Na
5 6 5
Cartesian
0.000 0.000 0.000
0.000 -2.305 9.383
0.000 2.305 9.383
4.149 -2.724 12.333
4.149 2.724 12.333
0.000 -5.189 5.782
0.000 0.000 4.912
0.000 5.189 5.782
4.149 0.000 2.623
4.149 -3.105 6.403
4.149 3.105 6.403
2.212 -6.518 9.418
2.212 6.518 9.418
4.149 0.000 8.921
6.086 -6.518 9.418
6.086 6.518 9.418
```

Calculated values
**Density**: 1.7 g/cm3

No. 4
CsRb8Na6 | PBE | optimized geometry

Geometry as POSCAR:
```
CsRb8Na6
1.0
6.087 3.514 8.611
-6.087 3.514 8.611
0.000 -7.028 8.611
Cs Rb Na
1 8 6
Cartesian
0.000 0.000 0.000
-4.057 -0.030 11.659
-2.002 -3.529 14.175
0.000 0.000 8.600
2.055 -3.498 11.659
-2.055 3.498 14.175
0.000 0.000 17.234
2.002 3.529 11.659
4.057 0.030 14.175
-2.057 -3.447 9.762
-4.014 0.058 16.072
-1.957 3.505 9.762
1.957 -3.505 16.072
4.014 -0.058 9.762
2.057 3.447 16.072
```

Calculated values
**Density**: 1.4 g/cm3

Result set for formation energy from the elements: 206; 46; 36; 56 meV per atom, one per record in the order listed.
Result set for total energy: -6.27; -5.55; -16.08; -15.67 eV/f.u., one per record in the order listed.